No. 1
## La12Pm5Th3 (PBE)

Data for crystalline La12Pm5Th3 at its relaxed geometry.

Its density of states at the Fermi level is 307.80 states/eV/cell. As for the formation energy: 0.900 eV/atom. The total magnetic moment comes out at 0.007 μB/f.u.

a = 18.6146 Å, b = 18.6146 Å, c = 18.6146 Å
α = 90.00°, β = 90.00°, γ = 90.00°
Last column: nearest neighbours and their distance in Å.
Space group Ia-3d (No. 230)
Inequivalent atoms, fractional coordinates:
La: 0.0214 0.0804 0.6535 (multiplicity 96)  2 Pm 3.03-3.25, 1 Th 3.23
Pm: 0.0000 0.0000 0.0000 (multiplicity 16)  6 La 3.25
Pm: 0.0000 0.2500 0.3750 (multiplicity 24)  4 La 3.03
Th: 0.0000 0.2500 0.1250 (multiplicity 24)  8 La 3.23-3.59


No. 2
## LaPmTh3 (PBE)

Data for crystalline LaPmTh3 at its relaxed geometry.

Its density of states at the Fermi level is 36.64 states/eV/cell. As for the formation energy: 0.326 eV/atom. The total magnetic moment comes out at 0.000 μB/f.u.

a = 10.0177 Å, b = 11.9458 Å, c = 6.0527 Å
α = 90.00°, β = 90.00°, γ = 90.00°
Last column: nearest neighbours and their distance in Å.
Space group Imma (No. 74)
Inequivalent atoms, fractional coordinates:
La: 0.2500 0.2500 0.2500 (multiplicity 4)  4 Th 3.44, 2 Pm 3.71
Pm: 0.0000 0.2500 0.7026 (multiplicity 4)  6 Th 3.49-3.65, 2 La 3.71
Th: 0.0000 0.0000 0.0000 (multiplicity 4)  6 Th 3.31-3.47, 2 Pm 3.49
Th: 0.1692 0.0000 0.5000 (multiplicity 8)  6 Th 3.31-3.47, 2 La 3.44, 2 Pm 3.65


No. 3
## La2Pm9Th (PBE)

Data for crystalline La2Pm9Th at its relaxed geometry.

Its density of states at the Fermi level is 18.44 states/eV/cell. As for the formation energy: 0.025 eV/atom. The total magnetic moment comes out at 0.000 μB/f.u.

a = 5.1720 Å, b = 5.1720 Å, c = 15.5331 Å
α = 90.00°, β = 90.00°, γ = 90.00°
Last column: nearest neighbours and their distance in Å.
Space group P4/mmm (No. 123)
Inequivalent atoms, fractional coordinates:
La: 0.0000 0.0000 0.1676 (multiplicity 2)  12 Pm 3.66-3.71
Pm: 0.0000 0.5000 0.0000 (multiplicity 2)  8 Pm 3.66-3.67, 4 La 3.67
Pm: 0.0000 0.5000 0.3385 (multiplicity 4)  2 Th 3.60, 8 Pm 3.60-3.71, 2 La 3.71
Pm: 0.5000 0.5000 0.1675 (multiplicity 2)  4 La 3.66, 8 Pm 3.67-3.71
Pm: 0.5000 0.5000 0.5000 (multiplicity 1)  8 Pm 3.60, 4 Th 3.66
Th: 0.0000 0.0000 0.5000 (multiplicity 1)  12 Pm 3.60-3.66


No. 4
## La9Pm4Th (PBE)

Data for crystalline La9Pm4Th at its relaxed geometry.

Its density of states at the Fermi level is 49.33 states/eV/cell. As for the formation energy: 0.144 eV/atom. The total magnetic moment comes out at 0.000 μB/f.u.

a = 10.1285 Å, b = 10.1285 Å, c = 11.6174 Å
α = 90.00°, β = 90.00°, γ = 120.00°
Last column: nearest neighbours and their distance in Å.
Space group P6_3/mmc (No. 194)
Inequivalent atoms, fractional coordinates:
La: 0.0753 0.5377 0.2500 (multiplicity 6)  2 Pm 3.37, 1 Th 3.58
La: 0.2075 0.4150 0.5359 (multiplicity 12)  1 Th 3.33, 2 Pm 3.66-3.71
Pm: 0.0000 0.0000 0.0000 (multiplicity 2)  6 Pm 3.51, 6 La 3.66
Pm: 0.1129 0.2257 0.2500 (multiplicity 6)  4 La 3.37-3.71, 4 Pm 3.43-3.51
Th: 0.3333 0.6667 0.7500 (multiplicity 2)  9 La 3.33-3.58


No. 5
## La4Pm2Th3 (PBE)

Data for crystalline La4Pm2Th3 at its relaxed geometry.

Its density of states at the Fermi level is 31.56 states/eV/cell. As for the formation energy: 0.238 eV/atom. For the energy above the most stable polymorph in this dataset, the calculation gives 159.6 meV/atom. The total magnetic moment comes out at 0.000 μB/f.u.

a = 3.5561 Å, b = 12.0519 Å, c = 15.0397 Å
α = 90.00°, β = 90.00°, γ = 90.00°
Last column: nearest neighbours and their distance in Å.
Space group Immm (No. 71)
Inequivalent atoms, fractional coordinates:
La: 0.0000 0.2474 0.1279 (multiplicity 8)  3 Th 3.49-3.60, 3 La 3.56-3.85, 2 Pm 3.69
Pm: 0.0000 0.0000 0.3006 (multiplicity 4)  4 Th 3.46-3.49, 2 Pm 3.56, 4 La 3.69
Th: 0.0000 0.5000 0.0000 (multiplicity 2)  4 Pm 3.49, 2 Th 3.56, 4 La 3.60
Th: 0.0000 0.5000 0.3969 (multiplicity 4)  1 Th 3.10, 2 Pm 3.46


No. 6
## LaPm2Th (PBE)

Data for crystalline LaPm2Th at its relaxed geometry.

Its density of states at the Fermi level is 12.14 states/eV/cell. As for the formation energy: 0.054 eV/atom. For the energy above the most stable polymorph in this dataset, the calculation gives 28.8 meV/atom. The total magnetic moment comes out at 0.000 μB/f.u.

a = 11.9201 Å, b = 3.6623 Å, c = 6.3398 Å
α = 90.00°, β = 90.00°, γ = 90.00°
Last column: nearest neighbours and their distance in Å.
Space group Amm2 (No. 38)
Inequivalent atoms, fractional coordinates:
La: 0.0000 0.0000 0.0000 (multiplicity 2)  6 La 3.66, 6 Pm 3.72
Pm: 0.2567 0.0000 0.3347 (multiplicity 4)  3 Th 3.59, 6 Pm 3.66, 3 La 3.72
Th: 0.5000 0.0000 0.6683 (multiplicity 2)  6 Pm 3.59, 6 Th 3.66


No. 7
## La3PmTh3 (PBE)

Data for crystalline La3PmTh3 at its relaxed geometry.

Its density of states at the Fermi level is 24.87 states/eV/cell. As for the formation energy: 0.076 eV/atom. The total magnetic moment comes out at 0.000 μB/f.u.

a = 9.6807 Å, b = 9.6807 Å, c = 6.0095 Å
α = 90.00°, β = 90.00°, γ = 120.00°
Last column: nearest neighbours and their distance in Å.
Space group P6_3/m (No. 176)
Inequivalent atoms, fractional coordinates:
La: 0.0443 0.2468 0.2500 (multiplicity 6)  5 Th 3.47-3.84, 1 Pm 3.60, 6 La 3.73-3.82
Pm: 0.3333 0.6667 0.2500 (multiplicity 2)  3 La 3.60, 9 Th 3.61-3.71
Th: 0.1043 0.4929 0.7500 (multiplicity 6)  5 La 3.47-3.84, 4 Th 3.47-3.66, 3 Pm 3.61-3.71


No. 8
## La8Pm4Th (PBE)

Data for crystalline La8Pm4Th at its relaxed geometry.

Its density of states at the Fermi level is 73.38 states/eV/cell. As for the formation energy: 0.369 eV/atom. The total magnetic moment comes out at 0.000 μB/f.u.

a = 11.9081 Å, b = 11.9081 Å, c = 11.9461 Å
α = 90.00°, β = 90.00°, γ = 120.00°
Last column: nearest neighbours and their distance in Å.
Space group R-3m (No. 166, hexagonal axes)
Inequivalent atoms, fractional coordinates:
La: 0.0000 0.0000 0.2381 (multiplicity 6)  1 Pm 2.84, 1 Th 3.13
La: 0.9999 0.4999 0.3279 (multiplicity 18)  3 Pm 3.44, 3 La 3.44-3.64
Pm: 0.0000 0.0000 0.0000 (multiplicity 3)  2 La 2.84
Pm: 0.0000 0.5000 0.0000 (multiplicity 9)  6 La 3.44-3.62
Th: 0.0000 0.0000 0.5000 (multiplicity 3)  2 La 3.13


Number 1: calculated density 6.4 g cm⁻³. Number 2: calculated density 9.0 g cm⁻³. Number 3: calculated density 7.3 g cm⁻³. Number 4: calculated density 6.6 g cm⁻³. Number 5: calculated density 7.9 g cm⁻³. Number 6: calculated density 7.9 g cm⁻³. Number 7: calculated density 8.6 g cm⁻³. Number 8: calculated density 6.5 g cm⁻³.